Entry 1:
Material: Pt3Rh
Method: DFT, PBEsol
State: relaxed

Unit cell a=2.7197 b=2.7197 c=9.1897 alpha=90.00 beta=90.00 gamma=120.00
With the nearest neighbours (Å) after each atom.
Space group P-6m2 (No. 187)
Unique sites:
Pt (0.0000, 0.0000, 0.0000) [1 per cell]  12 Pt 2.72-2.83
Pt (0.3333, 0.6667, 0.2566) [2 per cell]  9 Pt 2.72-2.83, 3 Rh 2.73
Rh (0.0000, 0.0000, 0.5000) [1 per cell]  6 Rh 2.72, 6 Pt 2.73

Results
The value obtained for the energy relative to the elements is 0.069 eV/atom. As for the density: 19.4 g/cm³. As for the calculated total energy: -7.189 eV/atom. For the volume, the calculation gives 14.717 A^3/atom.

=====

Entry 2:
Material: Pt3Rh2
Method: DFT, PBEsol
State: relaxed

Unit cell a=3.6024 b=3.6024 c=22.1462 alpha=90.00 beta=90.00 gamma=120.00
With the nearest neighbours (Å) after each atom.
Space group R-3m (No. 166, hexagonal axes)
Unique sites:
Pt (0.0000, 0.0000, 0.0000) [3 per cell]  6 Rh 2.54
Pt (0.0000, 0.0000, 0.2020) [6 per cell]  3 Rh 2.54, 3 Pt 2.60
Rh (0.0000, 0.0000, 0.3989) [6 per cell]  6 Pt 2.54

Results
The value obtained for the energy relative to the elements is 0.689 eV/atom. As for the density: 15.8 g/cm³. As for the calculated total energy: -6.745 eV/atom. For the volume, the calculation gives 16.593 A^3/atom.

=====

Entry 3:
Material: Pt3Rh5
Method: DFT, PBEsol
State: relaxed

Unit cell a=7.6457 b=7.6483 c=3.8337 alpha=90.00 beta=90.00 gamma=90.00
With the nearest neighbours (Å) after each atom.
Space group Cmmm (No. 65)
Unique sites:
Pt (0.0000, 0.0000, 0.0000) [2 per cell]  8 Rh 2.70-2.72, 4 Pt 2.72
Pt (0.2471, 0.5000, 0.5000) [4 per cell]  10 Rh 2.68-2.73, 2 Pt 2.72
Rh (0.0000, 0.2521, 0.5000) [4 per cell]  6 Pt 2.68-2.73, 6 Rh 2.70-2.71
Rh (0.0000, 0.5000, 0.0000) [2 per cell]  4 Pt 2.69, 8 Rh 2.70
Rh (0.2500, 0.2500, 0.0000) [4 per cell]  6 Rh 2.70-2.71, 6 Pt 2.70-2.71

Results
The value obtained for the energy relative to the elements is -0.016 eV/atom. As for the density: 16.3 g/cm³. As for the calculated total energy: -7.714 eV/atom. For the volume, the calculation gives 14.011 A^3/atom.